First-principles (PBE) data for a relaxed BiPd8Au2 crystal, as listed in Alexandria via LeMat-Bulk.

Properties
Offset from the most stable computed form: 0 meV per atom
Calculated volume: 17.44 Å³/atom
E_form: 0.6 kJ/mol of formula units
E_tot: -51.97 eV per cell

```
BiPd8Au2
1.0
-2.887 -1.598 4.419
0.791 -7.202 0.237
4.312 -4.703 3.441
Bi Pd Au
1 8 2
Cartesian
0.000 0.000 0.000
1.004 -5.318 5.269
2.947 -6.953 4.407
1.193 -3.095 1.103
1.023 -10.408 6.994
-0.731 -6.550 3.690
1.212 -8.184 2.828
1.521 -5.343 2.496
0.695 -8.160 5.601
-0.558 -3.529 3.365
2.774 -9.974 4.732
```